Density functional theory data (PBE) for a relaxed K3PuPa2N6 crystal.

Electronic total energy, hartree per atom: -0.30278
Raw formation energy, meV per atom: -1025

Cell lengths 6.2121, 10.7634, 6.7313 Å; angles 90.00, 107.89, 90.00 degrees
Space group C2/m (No. 12)
Asymmetric unit:
K (0.0000, 0.0000, 0.0000)
K (0.0000, 0.3360, 0.0000)
Pu (0.0000, 0.5000, 0.5000)
Pa (0.0000, 0.1668, 0.5000)
N (0.2176, 0.3353, 0.6587)
N (0.2237, 0.0000, 0.6583)

Density functional theory data (PBE) for a relaxed KRbPa4N8 crystal.

Electronic total energy, hartree per atom: -0.31318
Raw formation energy, meV per atom: -904

Cell lengths 7.1562, 7.1562, 17.8305 Å; angles 90.00, 90.00, 120.00 degrees
Space group R3m (No. 160, hexagonal axes)
Asymmetric unit:
K (0.0000, 0.0000, 0.0000)
Rb (0.0000, 0.0000, 0.3801)
Pa (0.0000, 0.0000, 0.6210)
Pa (0.1727, 0.3454, 0.8360)
N (0.0000, 0.0000, 0.2282)
N (0.0000, 0.0000, 0.7456)
N (0.0169, 0.5084, 0.2338)
N (0.0530, 0.5265, 0.7811)

Density functional theory data (PBE) for a relaxed KPaReN4 crystal.

Electronic total energy, hartree per atom: -0.31934
Raw formation energy, meV per atom: -641

Cell lengths 6.1073, 5.8170, 7.6838 Å; angles 90.00, 105.36, 90.00 degrees
Space group P2_1/m (No. 11)
Asymmetric unit:
K (0.1993, 0.2500, 0.4264)
Pa (0.2967, 0.2500, 0.9489)
Re (0.2373, 0.7500, 0.1534)
N (0.0364, 0.7500, 0.9354)
N (0.0375, 0.7500, 0.2931)
N (0.4555, 0.5114, 0.1682)

Density functional theory data (PBE) for a relaxed K2PaReN4 crystal.

Electronic total energy, hartree per atom: -0.28223
Raw formation energy, meV per atom: -500

Cell lengths 6.0514, 6.0514, 9.0608 Å; angles 90.00, 90.00, 90.00 degrees
Space group I-4 (No. 82)
Asymmetric unit:
K (0.0000, 0.0000, 0.0000)
K (0.0000, 0.5000, 0.2500)
Pa (0.0000, 0.0000, 0.5000)
Re (0.0000, 0.5000, 0.7500)
N (0.1234, 0.7230, 0.6334)